Density functional theory data (meta-GGA SCAN) for a crystal of Be5Pt4 relaxed with PBEsol.

Summary:
- Energy of formation from the pure elements: -755 meV/atom
- ρ: 13.5 g/cm³
- Symmetry: No. 139

Geometry as POSCAR:
```
Be5Pt4
1.0
-3.762 3.762 1.795
3.762 -3.762 1.795
3.762 3.762 -1.795
Be Pt
5 4
direct
0.000 0.000 0.000
0.327 0.327 0.654
0.327 0.673 0.000
0.673 0.327 0.000
0.673 0.673 0.346
0.000 0.293 0.293
0.000 0.707 0.707
0.293 0.000 0.293
0.707 0.000 0.707
```